[1]
Density functional theory data (PBE) for an optimized crystal structure of KH2PbAu.

a = 4.4347 Å, b = 5.9407 Å, c = 4.4347 Å
α = 90.00°, β = 90.00°, γ = 90.00°
Positions (direct):
H 0.0000 0.0000 0.5000
H 0.5000 0.0000 0.0000
Au 0.0000 0.5000 0.0000
Pb 0.5000 0.5000 0.5000
K 0.0000 0.0000 0.0000

The calculated total energy is -11.501 eV per cell. The symmetry is No. 123. As for the density of states at the Fermi level: 0.48 states/eV per cell.

[2]
Density functional theory data (PBE) for an optimized crystal structure of Pm2Pr3Mg2.

a = 3.8621 Å, b = 3.7673 Å, c = 15.8588 Å
α = 90.00°, β = 96.99°, γ = 90.00°
Positions (direct):
Pr 0.5820 0.5000 0.1641
Pr 0.4180 0.5000 0.8359
Pr 0.0000 0.0000 0.0000
Pm 0.2946 0.5000 0.5892
Pm 0.7054 0.5000 0.4108
Mg 0.1447 0.0000 0.2893
Mg 0.8553 0.0000 0.7107

The calculated total energy is -26.812 eV per cell. The formation enthalpy at 0 K is 0.03 eV/atom. The symmetry is No. 65. As for the density of states at the Fermi level: 7.17 states/eV per cell.

no.,ρ (g/cm³)
1,6.3
2,5.5